Computed, not measured: a geometry-optimized HfBi2Mo2 structure at the PBE level of DFT.

Energy above the lowest structure with this stoichiometry (kJ/mol of formula units): 77
VASP energy (eV/atom): -7.155
Space group: I4/mmm (139)
M_tot (μB/f.u.): 0.00

Unit cell a=5.6591 b=5.6591 c=5.6591 alpha=125.03 beta=125.03 gamma=81.49
Closest atoms and distances in Å follow each position.
Atoms (fractional coordinates):
Hf (0.0000, 0.0000, 0.0000)  2 Mo 3.17, 8 Bi 3.38
Bi (0.2500, 0.7500, 0.5000)  4 Mo 2.81
Bi (0.7500, 0.2500, 0.5000)  4 Mo 2.81
Mo (0.3702, 0.3702, 0.0000)  1 Mo 2.23
Mo (0.6298, 0.6298, 0.0000)  1 Mo 2.23

Computed, not measured: a geometry-optimized Hf6Bi2Mo structure at the PBE level of DFT.

VASP energy (eV/atom): -8.595
Space group: P2_1/c (14)
M_tot (μB/f.u.): 0.00

Unit cell a=5.6708 b=7.5362 c=11.0286 alpha=90.00 beta=118.69 gamma=90.00
Closest atoms and distances in Å follow each position.
Atoms (fractional coordinates):
Hf (0.0907, 0.0569, 0.2430)  1 Mo 2.70, 1 Bi 2.99
Hf (0.0907, 0.4431, 0.7430)  1 Mo 2.70, 1 Bi 2.99
Hf (0.1457, 0.7202, 0.0366)  1 Mo 2.78, 1 Hf 2.88, 2 Bi 3.03-3.05
Hf (0.1457, 0.7798, 0.5366)  1 Mo 2.78, 1 Hf 2.88, 2 Bi 3.03-3.05
Hf (0.3778, 0.1569, 0.0199)  1 Mo 2.71, 2 Hf 2.88, 1 Bi 3.01
Hf (0.3778, 0.3431, 0.5199)  1 Mo 2.71, 2 Hf 2.88, 1 Bi 3.01
Hf (0.6222, 0.6569, 0.4801)  1 Mo 2.71, 2 Hf 2.88, 1 Bi 3.01
Hf (0.6222, 0.8431, 0.9801)  1 Mo 2.71, 2 Hf 2.88, 1 Bi 3.01
Hf (0.8543, 0.2202, 0.4634)  1 Mo 2.78, 1 Hf 2.88, 2 Bi 3.03-3.05
Hf (0.8543, 0.2798, 0.9634)  1 Mo 2.78, 1 Hf 2.88, 2 Bi 3.03-3.05
Hf (0.9093, 0.5569, 0.2570)  1 Mo 2.70, 1 Bi 2.99
Hf (0.9093, 0.9431, 0.7570)  1 Mo 2.70, 1 Bi 2.99
Bi (0.3725, 0.0925, 0.7313)  9 Hf 2.99-3.21, 1 Mo 3.05
Bi (0.3725, 0.4075, 0.2313)  9 Hf 2.99-3.21, 1 Mo 3.05
Bi (0.6275, 0.5925, 0.7687)  9 Hf 2.99-3.21, 1 Mo 3.05
Bi (0.6275, 0.9075, 0.2687)  9 Hf 2.99-3.21, 1 Mo 3.05
Mo (0.5000, 0.0000, 0.5000)  6 Hf 2.70-2.78
Mo (0.5000, 0.5000, 0.0000)  6 Hf 2.70-2.78

Computed, not measured: a geometry-optimized HfBiMo3 structure at the PBE level of DFT.

Energy above the lowest structure with this stoichiometry (kJ/mol of formula units): 166
VASP energy (eV/atom): -7.122
Space group: Pm-3m (221)
M_tot (μB/f.u.): 0.98

Unit cell a=4.9614 b=4.9614 c=4.9614 alpha=90.00 beta=90.00 gamma=90.00
Closest atoms and distances in Å follow each position.
Atoms (fractional coordinates):
Hf (0.0000, 0.0000, 0.0000)  12 Mo 3.51
Bi (0.5000, 0.5000, 0.5000)  6 Mo 2.48
Mo (0.0000, 0.5000, 0.5000)  2 Bi 2.48
Mo (0.5000, 0.0000, 0.5000)  2 Bi 2.48
Mo (0.5000, 0.5000, 0.0000)  2 Bi 2.48

Computed, not measured: a geometry-optimized Hf3BiMo structure at the PBE level of DFT.

Energy above the lowest structure with this stoichiometry (kJ/mol of formula units): 0
VASP energy (eV/atom): -8.295
Space group: Pm-3m (221)
M_tot (μB/f.u.): 0.00

Unit cell a=5.0566 b=5.0566 c=5.0566 alpha=90.00 beta=90.00 gamma=90.00
Closest atoms and distances in Å follow each position.
Atoms (fractional coordinates):
Hf (0.0000, 0.0000, 0.5000)  2 Mo 2.53
Hf (0.0000, 0.5000, 0.0000)  2 Mo 2.53
Hf (0.5000, 0.0000, 0.0000)  2 Mo 2.53
Bi (0.5000, 0.5000, 0.5000)  12 Hf 3.58
Mo (0.0000, 0.0000, 0.0000)  6 Hf 2.53

Computed, not measured: a geometry-optimized Hf5BiMo structure at the PBE level of DFT.

VASP energy (eV/atom): -8.870
Space group: C2/c (15)
M_tot (μB/f.u.): 0.00

Unit cell a=5.9598 b=5.9598 c=11.3009 alpha=111.86 beta=111.86 gamma=63.30
Closest atoms and distances in Å follow each position.
Atoms (fractional coordinates):
Hf (0.0230, 0.9770, 0.7500)  2 Mo 2.83, 4 Hf 2.91-3.14, 1 Bi 2.99
Hf (0.0347, 0.5286, 0.8029)  1 Mo 2.84, 4 Hf 2.91-3.14, 2 Bi 2.95-3.12
Hf (0.2454, 0.4602, 0.4877)  1 Bi 2.84, 1 Mo 2.85, 4 Hf 2.85-3.18
Hf (0.4602, 0.2454, 0.9877)  1 Bi 2.84, 1 Mo 2.85, 4 Hf 2.85-3.18
Hf (0.4714, 0.9653, 0.6971)  1 Mo 2.84, 4 Hf 2.91-3.14, 2 Bi 2.95-3.12
Hf (0.5286, 0.0347, 0.3029)  1 Mo 2.84, 4 Hf 2.91-3.14, 2 Bi 2.95-3.12
Hf (0.5398, 0.7546, 0.0123)  1 Bi 2.84, 1 Mo 2.85, 4 Hf 2.85-3.18
Hf (0.7546, 0.5398, 0.5123)  1 Bi 2.84, 1 Mo 2.85, 4 Hf 2.85-3.18
Hf (0.9653, 0.4714, 0.1971)  1 Mo 2.84, 4 Hf 2.91-3.14, 2 Bi 2.95-3.12
Hf (0.9770, 0.0230, 0.2500)  2 Mo 2.83, 4 Hf 2.91-3.14, 1 Bi 2.99
Bi (0.4553, 0.5447, 0.2500)  7 Hf 2.84-3.12
Bi (0.5447, 0.4553, 0.7500)  7 Hf 2.84-3.12
Mo (0.0000, 0.0000, 0.0000)  6 Hf 2.83-2.85
Mo (0.0000, 0.0000, 0.5000)  6 Hf 2.83-2.85

Computed, not measured: a geometry-optimized HfBi2Mo2 structure at the PBE level of DFT.

Energy above the lowest structure with this stoichiometry (kJ/mol of formula units): 0
VASP energy (eV/atom): -7.314
Space group: P4/mbm (127)
M_tot (μB/f.u.): 0.00

Unit cell a=7.6495 b=7.6495 c=3.6560 alpha=90.00 beta=90.00 gamma=90.00
Closest atoms and distances in Å follow each position.
Atoms (fractional coordinates):
Hf (0.0000, 0.0000, 0.0000)  4 Mo 3.02, 8 Bi 3.38
Hf (0.5000, 0.5000, 0.0000)  4 Mo 3.02, 8 Bi 3.38
Bi (0.1703, 0.3297, 0.5000)  6 Mo 2.86-2.93
Bi (0.3297, 0.8297, 0.5000)  6 Mo 2.86-2.93
Bi (0.6703, 0.1703, 0.5000)  6 Mo 2.86-2.93
Bi (0.8297, 0.6703, 0.5000)  6 Mo 2.86-2.93
Mo (0.1266, 0.6266, 0.0000)  1 Mo 2.74, 6 Bi 2.86-2.93, 2 Hf 3.02
Mo (0.3734, 0.1266, 0.0000)  1 Mo 2.74, 6 Bi 2.86-2.93, 2 Hf 3.02
Mo (0.6266, 0.8734, 0.0000)  1 Mo 2.74, 6 Bi 2.86-2.93, 2 Hf 3.02
Mo (0.8734, 0.3734, 0.0000)  1 Mo 2.74, 6 Bi 2.86-2.93, 2 Hf 3.02

Computed, not measured: a geometry-optimized Hf2BiMo structure at the PBE level of DFT.

VASP energy (eV/atom): -8.571
Space group: R-3m (166)
M_tot (μB/f.u.): 0.00

Unit cell a=9.2893 b=9.2893 c=9.2893 alpha=20.86 beta=20.86 gamma=20.86
Closest atoms and distances in Å follow each position.
Atoms (fractional coordinates):
Hf (0.2389, 0.2389, 0.2389)  3 Mo 2.77
Hf (0.7611, 0.7611, 0.7611)  3 Mo 2.77
Bi (0.0000, 0.0000, 0.0000)  6 Hf 3.22, 6 Bi 3.36
Mo (0.5000, 0.5000, 0.5000)  6 Hf 2.77

Computed, not measured: a geometry-optimized HfBiMo3 structure at the PBE level of DFT.

Energy above the lowest structure with this stoichiometry (kJ/mol of formula units): 0
VASP energy (eV/atom): -7.466
Space group: Pm-3m (221)
M_tot (μB/f.u.): 0.90

Unit cell a=4.8720 b=4.8720 c=4.8720 alpha=90.00 beta=90.00 gamma=90.00
Closest atoms and distances in Å follow each position.
Atoms (fractional coordinates):
Hf (0.0000, 0.0000, 0.0000)  6 Mo 2.44
Bi (0.5000, 0.5000, 0.5000)  12 Mo 3.45
Mo (0.0000, 0.0000, 0.5000)  2 Hf 2.44
Mo (0.0000, 0.5000, 0.0000)  2 Hf 2.44
Mo (0.5000, 0.0000, 0.0000)  2 Hf 2.44

Computed, not measured: a geometry-optimized Hf6Bi3Mo structure at the PBE level of DFT.

VASP energy (eV/atom): -8.149
Space group: Cmc2_1 (36)
M_tot (μB/f.u.): 0.00

Unit cell a=9.2659 b=9.2659 c=6.3473 alpha=90.00 beta=90.00 gamma=116.63
Closest atoms and distances in Å follow each position.
Atoms (fractional coordinates):
Hf (0.0333, 0.9667, 0.5000)  1 Mo 2.62
Hf (0.0805, 0.5961, 0.4767)  1 Mo 2.82, 2 Bi 2.93-3.02, 2 Hf 3.04-3.15
Hf (0.1906, 0.3620, 0.7602)  1 Mo 2.88, 4 Bi 2.97-3.19, 3 Hf 3.04-3.22
Hf (0.2787, 0.7213, 0.9213)  1 Mo 2.73
Hf (0.3620, 0.1906, 0.2602)  1 Mo 2.88, 4 Bi 2.97-3.19, 3 Hf 3.04-3.22
Hf (0.4039, 0.9195, 0.4767)  1 Mo 2.82, 2 Bi 2.93-3.02, 2 Hf 3.04-3.15
Hf (0.5961, 0.0805, 0.9767)  1 Mo 2.82, 2 Bi 2.93-3.02, 2 Hf 3.04-3.15
Hf (0.6380, 0.8094, 0.7602)  1 Mo 2.88, 4 Bi 2.97-3.19, 3 Hf 3.04-3.22
Hf (0.7213, 0.2787, 0.4213)  1 Mo 2.73
Hf (0.8094, 0.6380, 0.2602)  1 Mo 2.88, 4 Bi 2.97-3.19, 3 Hf 3.04-3.22
Hf (0.9195, 0.4039, 0.9767)  1 Mo 2.82, 2 Bi 2.93-3.02, 2 Hf 3.04-3.15
Hf (0.9667, 0.0333, 0.0000)  1 Mo 2.62
Bi (0.0853, 0.3030, 0.3134)  6 Hf 2.93-3.19, 1 Mo 3.14
Bi (0.3030, 0.0853, 0.8134)  6 Hf 2.93-3.19, 1 Mo 3.14
Bi (0.4710, 0.5290, 0.0590)  5 Hf 3.02-3.16, 2 Bi 3.30
Bi (0.5290, 0.4710, 0.5590)  5 Hf 3.02-3.16, 2 Bi 3.30
Bi (0.6970, 0.9147, 0.3134)  6 Hf 2.93-3.19, 1 Mo 3.14
Bi (0.9147, 0.6970, 0.8134)  6 Hf 2.93-3.19, 1 Mo 3.14
Mo (0.1461, 0.8539, 0.1968)  6 Hf 2.62-2.88
Mo (0.8539, 0.1461, 0.6968)  6 Hf 2.62-2.88

Computed, not measured: a geometry-optimized HfBiMo2 structure at the PBE level of DFT.

VASP energy (eV/atom): -8.120
Space group: I-42d (122)
M_tot (μB/f.u.): 0.00

Unit cell a=10.5617 b=10.5617 c=10.5617 alpha=157.51 beta=157.51 gamma=32.02
Closest atoms and distances in Å follow each position.
Atoms (fractional coordinates):
Hf (0.0000, 0.0000, 0.0000)  4 Mo 2.85, 4 Bi 2.91
Hf (0.7500, 0.2500, 0.5000)  4 Mo 2.85, 4 Bi 2.91
Bi (0.2500, 0.7500, 0.5000)  4 Hf 2.91, 4 Mo 3.02
Bi (0.5000, 0.5000, 0.0000)  4 Hf 2.91, 4 Mo 3.02
Mo (0.0683, 0.6250, 0.9433)  2 Mo 2.60, 2 Hf 2.85
Mo (0.3750, 0.3183, 0.4433)  2 Mo 2.60, 2 Hf 2.85
Mo (0.6817, 0.1250, 0.0567)  2 Mo 2.60, 2 Hf 2.85
Mo (0.8750, 0.9317, 0.5567)  2 Mo 2.60, 2 Hf 2.85

Computed, not measured: a geometry-optimized HfBiMoN2 structure at the PBE level of DFT.

VASP energy (eV/atom): -7.290
ΔE_f (raw) (eV per atom): 0.97
Space group: P4/mmm (123)
M_tot (μB/f.u.): 2.14

Unit cell a=4.1285 b=4.1285 c=6.1083 alpha=90.00 beta=90.00 gamma=90.00
Closest atoms and distances in Å follow each position.
Atoms (fractional coordinates):
Hf (0.0000, 0.0000, 0.0000)  4 N 2.06
Bi (0.0000, 0.0000, 0.5000)  4 Mo 2.92, 2 Hf 3.05
Mo (0.5000, 0.5000, 0.5000)  4 Bi 2.92
N (0.0000, 0.5000, 0.0000)  2 Hf 2.06
N (0.5000, 0.0000, 0.0000)  2 Hf 2.06

Short version: DOS(E_F) = 4.45; 11.57; 9.55; 8.55; 11.52; 9.73; 3.35; 6.54; 19.55; 6.80; 4.36 states/eV/cell, in the order given.